No. 1
# meta-GGA SCAN CsRbRe3, PBEsol geometry
data_CsRbRe3
_chemical_formula_sum 'Cs1 Rb1 Re3'
_cell_length_a 5.049
_cell_length_b 5.049
_cell_length_c 5.049
_cell_angle_alpha 90.00
_cell_angle_beta 90.00
_cell_angle_gamma 90.00
_symmetry_space_group_name_H-M 'P m -3 m'
_symmetry_Int_Tables_number 221
_symmetry_space_group_name_Hall '-P 4 2 3'
loop_
_atom_site_label
_atom_site_type_symbol
_atom_site_fract_x
_atom_site_fract_y
_atom_site_fract_z
Cs1 Cs 0.000 0.000 0.000
Rb1 Rb 0.500 0.500 0.500
Re1 Re 0.000 0.000 0.500
# ΔH_f (0 K): 4105.9 meV/atom

***

No. 2
# meta-GGA SCAN Li2YMg, PBEsol geometry
data_Li2YMg
_chemical_formula_sum 'Li4 Y2 Mg2'
_cell_length_a 11.256
_cell_length_b 3.407
_cell_length_c 5.306
_cell_angle_alpha 90.00
_cell_angle_beta 116.63
_cell_angle_gamma 90.00
_symmetry_space_group_name_H-M 'C 1 m 1'
_symmetry_Int_Tables_number 8
_symmetry_space_group_name_Hall 'C -2y'
loop_
_atom_site_label
_atom_site_type_symbol
_atom_site_fract_x
_atom_site_fract_y
_atom_site_fract_z
Li1 Li 0.000 0.000 0.000
Li2 Li 0.209 0.500 0.217
Y1 Y 0.483 0.000 0.486
Mg1 Mg 0.265 0.000 0.775
# ΔH_f (0 K): 77.2 meV/atom

***

No. 3
# meta-GGA SCAN AgCO2, PBEsol geometry
data_AgCO2
_chemical_formula_sum 'Ag3 C3 O6'
_cell_length_a 2.9139
_cell_length_b 2.9139
_cell_length_c 28.4286
_cell_angle_alpha 90.00
_cell_angle_beta 90.00
_cell_angle_gamma 120.00
_symmetry_space_group_name_H-M 'R -3 m'
_symmetry_Int_Tables_number 166
_symmetry_space_group_name_Hall '-R 3 2"'
loop_
_atom_site_label
_atom_site_type_symbol
_atom_site_fract_x
_atom_site_fract_y
_atom_site_fract_z
Ag1 Ag 0.0000 0.0000 0.0000
C1 C 0.0000 0.0000 0.5000
O1 O 0.0000 0.0000 0.4587
# Formation energy from raw total energies: -0.6711 eV per atom

***

No. 4
# meta-GGA SCAN Cd2AsW, PBEsol geometry
data_Cd2AsW
_chemical_formula_sum 'Cd4 As2 W2'
_cell_length_a 3.156
_cell_length_b 4.693
_cell_length_c 10.807
_cell_angle_alpha 90.00
_cell_angle_beta 90.00
_cell_angle_gamma 90.00
_symmetry_space_group_name_H-M 'C m m 2'
_symmetry_Int_Tables_number 35
_symmetry_space_group_name_Hall 'C 2 -2'
loop_
_atom_site_label
_atom_site_type_symbol
_atom_site_fract_x
_atom_site_fract_y
_atom_site_fract_z
Cd1 Cd 0.000 0.000 0.000
Cd2 Cd 0.000 0.500 0.259
As1 As 0.000 0.000 0.587
W1 W 0.000 0.500 0.770
# ΔH_f (0 K): 328.5 meV/atom

***

Volume, respectively: 25.7 22.7 17.4 20.0 A^3/atom.